# 1
The following is a DFT calculation (PBE) of PrAl2Au3 after structural relaxation.

a b c (Å): 4.4348 4.4348 14.3635
angles (deg): 90.00 90.00 120.00
Space group P6_3/mmc (No. 194)
Inequivalent atoms, fractional coordinates:
Pr  0.0000  0.0000  0.2500 (multiplicity 2)
Al  0.3333  0.6667  0.0785 (multiplicity 4)
Au  0.0000  0.0000  0.0000 (multiplicity 2)
Au  0.3333  0.6667  0.6180 (multiplicity 4)

DOS at the Fermi energy   2.35 states/eV/f.u.
Spin magnetization   0.00 μB/f.u.
VASP energy   -4.303 eV per atom

***

# 2
The following is a DFT calculation (PBE) of Li2SbPt after structural relaxation.

a b c (Å): 5.455 8.168 3.006
angles (deg): 90.00 90.00 90.00
Space group Cmmm (No. 65)
Inequivalent atoms, fractional coordinates:
Li  0.250  0.250  0.000 (multiplicity 4)
Sb  0.000  0.000  0.500 (multiplicity 2)
Pt  0.000  0.500  0.500 (multiplicity 2)

DOS at the Fermi energy   0.79 states/eV/f.u.
Spin magnetization   0.00 μB/f.u.
Uncorrected formation energy   -0.4894 eV/atom

***

# 3
The following is a DFT calculation (PBE) of Y2CrAgN after structural relaxation.

a b c (Å): 4.970 4.970 3.803
angles (deg): 90.00 90.00 90.00
Space group P4/mmm (No. 123)
Inequivalent atoms, fractional coordinates:
Y  0.000  0.500  0.000 (multiplicity 2)
Cr  0.000  0.000  0.500 (multiplicity 1)
Ag  0.500  0.500  0.500 (multiplicity 1)
N  0.000  0.000  0.000 (multiplicity 1)

DOS at the Fermi energy   3.71 states/eV/f.u.
Spin magnetization   1.98 μB/f.u.
Uncorrected formation energy   -0.6312 eV/atom

***

# 4
The following is a DFT calculation (PBE) of K3MnB after structural relaxation.

a b c (Å): 6.052 6.052 6.052
angles (deg): 90.00 90.00 90.00
Space group Pm-3m (No. 221)
Inequivalent atoms, fractional coordinates:
K  0.000  0.000  0.500 (multiplicity 3)
Mn  0.500  0.500  0.500 (multiplicity 1)
B  0.000  0.000  0.000 (multiplicity 1)

DOS at the Fermi energy   9.00 states/eV/f.u.
Offset from the most stable computed form   0.0 meV/atom
Spin magnetization   6.43 μB/f.u.

***

# 5
The following is a DFT calculation (PBE) of InHgBi4 after structural relaxation.

a b c (Å): 5.596 6.636 6.647
angles (deg): 97.57 114.89 114.85
Space group P-1 (No. 2)
Inequivalent atoms, fractional coordinates:
In  0.000  0.000  0.000 (multiplicity 1)
Hg  0.500  0.500  0.500 (multiplicity 1)
Bi  0.234  0.900  0.569 (multiplicity 2)
Bi  0.240  0.575  0.906 (multiplicity 2)

DOS at the Fermi energy   2.53 states/eV/f.u.
Offset from the most stable computed form   0.0 meV/atom
Spin magnetization   0.00 μB/f.u.

***

# 6
The following is a DFT calculation (PBE) of ZrSc2Ni2 after structural relaxation.

a b c (Å): 4.218 4.218 10.396
angles (deg): 90.00 90.00 90.00
Space group I4/mmm (No. 139)
Inequivalent atoms, fractional coordinates:
Zr  0.000  0.000  0.000 (multiplicity 2)
Sc  0.000  0.500  0.250 (multiplicity 4)
Ni  0.000  0.000  0.394 (multiplicity 4)

DOS at the Fermi energy   6.16 states/eV/f.u.
Offset from the most stable computed form   197.5 meV/atom
Spin magnetization   0.00 μB/f.u.